Y2TlAgSe4: relaxed, PBE.

Calculated values
The total energy comes out at -169.3 eV/cell. The value obtained for the formation energy without anion corrections is -1.281 eV per atom. As for the crystal system: orthorhombic. The volume comes out at 27.34 Å³ per atom.

a b c (Å): 4.1828 14.0267 14.9099
angles (deg): 90.00 90.00 90.00
Space group Cmcm (No. 63)
Unique sites:
Y 0.0000 0.1305 0.0682 [8 per cell]
Tl 0.0000 0.3772 0.2500 [4 per cell]
Ag 0.0000 0.3355 0.7500 [4 per cell]
Se 0.0000 0.0509 0.2500 [4 per cell]
Se 0.0000 0.2338 0.6018 [8 per cell]
Se 0.0000 0.5000 0.0000 [4 per cell]